Entry 1:
TaSi3N | GGA-PBE | optimized geometry

Calculated values
Formation energy without anion corrections   398 meV/atom
Symmetry   No. 221

abc: 4.005 4.005 4.005
angles: 90.00 90.00 90.00
Atoms (fractional coordinates):
Ta: 0.500 0.500 0.500
Si: 0.000 0.000 0.500
Si: 0.000 0.500 0.000
Si: 0.500 0.000 0.000
N: 0.000 0.000 0.000

***

Entry 2:
TaSiTe2N | GGA-PBE | optimized geometry

Calculated values
Formation energy without anion corrections   360 meV/atom
Symmetry   No. 123

abc: 5.549 5.549 3.888
angles: 90.00 90.00 90.00
Atoms (fractional coordinates):
Te: 0.500 0.000 0.000
Si: 0.500 0.500 0.500
Ta: 0.000 0.000 0.000
Te: 0.000 0.500 0.000
N: 0.000 0.000 0.500

***

Look up the formation energy without anion corrections of the second one.
360 meV/atom